Entry 1:
VASP calculation (PBE-GGA) on a relaxed Ag5Te3S12 crystal.

Values from the calculation:
Raw formation energy ... 7.425 kcal/mol of atoms
Magnetization ... 0.00 Bohr magnetons per cell

a b c (Å): 13.285 13.285 13.285
angles (deg): 109.47 109.47 109.47
Fractional coordinates of all 80 atoms:
1 Ag 0.000 0.000 0.000
2 Ag 0.000 0.000 0.500
3 Ag 0.000 0.500 0.000
4 Ag 0.000 0.500 0.500
5 Ag 0.125 0.750 0.875
6 Ag 0.125 0.875 0.250
7 Ag 0.250 0.125 0.875
8 Ag 0.250 0.625 0.375
9 Ag 0.375 0.250 0.625
10 Ag 0.375 0.625 0.750
11 Ag 0.500 0.000 0.000
12 Ag 0.500 0.000 0.500
13 Ag 0.500 0.500 0.000
14 Ag 0.500 0.500 0.500
15 Ag 0.625 0.375 0.250
16 Ag 0.625 0.750 0.375
17 Ag 0.750 0.375 0.625
18 Ag 0.750 0.875 0.125
19 Ag 0.875 0.125 0.750
20 Ag 0.875 0.250 0.125
21 Te 0.125 0.250 0.375
22 Te 0.125 0.375 0.750
23 Te 0.250 0.375 0.125
24 Te 0.250 0.875 0.625
25 Te 0.375 0.125 0.250
26 Te 0.375 0.750 0.125
27 Te 0.625 0.250 0.875
28 Te 0.625 0.875 0.750
29 Te 0.750 0.125 0.375
30 Te 0.750 0.625 0.875
31 Te 0.875 0.625 0.250
32 Te 0.875 0.750 0.625
33 S 0.045 0.216 0.133
34 S 0.045 0.329 0.912
35 S 0.083 0.716 0.671
36 S 0.083 0.867 0.412
37 S 0.088 0.633 0.417
38 S 0.088 0.955 0.671
39 S 0.133 0.045 0.216
40 S 0.133 0.588 0.917
41 S 0.171 0.216 0.583
42 S 0.171 0.455 0.588
43 S 0.216 0.133 0.045
44 S 0.216 0.583 0.171
45 S 0.284 0.329 0.917
46 S 0.284 0.455 0.367
47 S 0.329 0.912 0.045
48 S 0.329 0.917 0.284
49 S 0.367 0.284 0.455
50 S 0.367 0.583 0.912
51 S 0.412 0.083 0.867
52 S 0.412 0.829 0.545
53 S 0.417 0.088 0.633
54 S 0.417 0.829 0.784
55 S 0.455 0.367 0.284
56 S 0.455 0.588 0.171
57 S 0.545 0.412 0.829
58 S 0.545 0.633 0.716
59 S 0.583 0.171 0.216
60 S 0.583 0.912 0.367
61 S 0.588 0.171 0.455
62 S 0.588 0.917 0.133
63 S 0.633 0.417 0.088
64 S 0.633 0.716 0.545
65 S 0.671 0.083 0.716
66 S 0.671 0.088 0.955
67 S 0.716 0.545 0.633
68 S 0.716 0.671 0.083
69 S 0.784 0.417 0.829
70 S 0.784 0.867 0.955
71 S 0.829 0.545 0.412
72 S 0.829 0.784 0.417
73 S 0.867 0.412 0.083
74 S 0.867 0.955 0.784
75 S 0.912 0.045 0.329
76 S 0.912 0.367 0.583
77 S 0.917 0.133 0.588
78 S 0.917 0.284 0.329
79 S 0.955 0.671 0.088
80 S 0.955 0.784 0.867

=====

Entry 2:
VASP calculation (PBE-GGA) on a relaxed Ag2Te3S8 crystal.

Values from the calculation:
Raw formation energy ... 2.923 kcal/mol of atoms
Magnetization ... 0.00 Bohr magnetons per cell

a b c (Å): 7.866 7.866 6.743
angles (deg): 110.93 110.93 57.13
Fractional coordinates of all 13 atoms:
1 Ag 0.245 0.245 0.493
2 Ag 0.755 0.755 0.507
3 Te 0.242 0.758 0.500
4 Te 0.500 0.500 0.000
5 Te 0.758 0.242 0.500
6 S 0.115 0.115 0.751
7 S 0.130 0.612 0.715
8 S 0.376 0.376 0.210
9 S 0.388 0.870 0.285
10 S 0.612 0.130 0.715
11 S 0.624 0.624 0.790
12 S 0.870 0.388 0.285
13 S 0.885 0.885 0.249

=====

Entry 3:
VASP calculation (PBE-GGA) on a relaxed Ag4Te2S crystal.

Values from the calculation:
Raw formation energy ... -0.028 kcal/mol of atoms
Magnetization ... 0.00 Bohr magnetons per cell

a b c (Å): 12.474 4.392 7.275
angles (deg): 90.00 123.92 90.00
Fractional coordinates of all 14 atoms:
1 Ag 0.141 0.000 0.206
2 Ag 0.158 0.500 0.876
3 Ag 0.342 0.000 0.124
4 Ag 0.359 0.500 0.794
5 Ag 0.641 0.500 0.206
6 Ag 0.658 0.000 0.876
7 Ag 0.842 0.500 0.124
8 Ag 0.859 0.000 0.794
9 Te 0.140 0.000 0.609
10 Te 0.360 0.500 0.391
11 Te 0.640 0.500 0.609
12 Te 0.860 0.000 0.391
13 S 0.000 0.500 0.000
14 S 0.500 0.000 0.000

=====

Entry 4:
VASP calculation (PBE-GGA) on a relaxed AgTe2S4 crystal.

Values from the calculation:
Raw formation energy ... 1.971 kcal/mol of atoms
Magnetization ... 0.00 Bohr magnetons per cell
Offset from the most stable computed form ... 0 meV/atom

a b c (Å): 8.032 8.032 7.592
angles (deg): 109.24 109.24 57.43
Fractional coordinates of all 14 atoms:
1 Ag 0.060 0.060 0.215
2 Ag 0.940 0.940 0.785
3 Te 0.000 0.500 0.000
4 Te 0.500 0.000 0.000
5 Te 0.500 0.500 0.000
6 Te 0.500 0.500 0.500
7 S 0.220 0.696 0.223
8 S 0.235 0.235 0.228
9 S 0.294 0.294 0.790
10 S 0.304 0.780 0.777
11 S 0.696 0.220 0.223
12 S 0.706 0.706 0.210
13 S 0.765 0.765 0.772
14 S 0.780 0.304 0.777

=====

Entry 5:
VASP calculation (PBE-GGA) on a relaxed Ag4TeS4 crystal.

Values from the calculation:
Raw formation energy ... 1.412 kcal/mol of atoms
Magnetization ... 0.00 Bohr magnetons per cell
Offset from the most stable computed form ... 28 meV/atom

a b c (Å): 6.751 6.751 9.255
angles (deg): 90.00 90.00 85.35
Fractional coordinates of all 18 atoms:
1 Ag 0.054 0.656 0.750
2 Ag 0.318 0.318 0.000
3 Ag 0.318 0.318 0.500
4 Ag 0.344 0.946 0.750
5 Ag 0.656 0.054 0.250
6 Ag 0.682 0.682 0.000
7 Ag 0.682 0.682 0.500
8 Ag 0.946 0.344 0.250
9 Te 0.222 0.778 0.250
10 Te 0.778 0.222 0.750
11 S 0.141 0.272 0.750
12 S 0.272 0.141 0.250
13 S 0.287 0.713 0.523
14 S 0.287 0.713 0.977
15 S 0.713 0.287 0.023
16 S 0.713 0.287 0.477
17 S 0.728 0.859 0.750
18 S 0.859 0.728 0.250

=====

Entry 6:
VASP calculation (PBE-GGA) on a relaxed Ag2Te2S3 crystal.

Values from the calculation:
Raw formation energy ... 2.050 kcal/mol of atoms
Magnetization ... 0.00 Bohr magnetons per cell

a b c (Å): 4.089 6.040 7.653
angles (deg): 73.64 81.78 78.69
Fractional coordinates of all 7 atoms:
1 Ag 0.106 0.264 0.328
2 Ag 0.894 0.736 0.672
3 Te 0.346 0.704 0.185
4 Te 0.654 0.296 0.815
5 S 0.000 0.500 0.000
6 S 0.156 0.101 0.664
7 S 0.844 0.899 0.336

=====

Entry 7:
VASP calculation (PBE-GGA) on a relaxed Ag2Te2S crystal.

Values from the calculation:
Raw formation energy ... 0.301 kcal/mol of atoms
Magnetization ... 0.00 Bohr magnetons per cell
Offset from the most stable computed form ... 0 meV/atom

a b c (Å): 4.345 7.300 9.037
angles (deg): 90.95 103.77 90.10
Fractional coordinates of all 10 atoms:
1 Ag 0.072 0.115 0.137
2 Ag 0.336 0.320 0.674
3 Ag 0.664 0.680 0.326
4 Ag 0.928 0.885 0.863
5 Te 0.054 0.648 0.105
6 Te 0.273 0.695 0.545
7 Te 0.727 0.305 0.455
8 Te 0.946 0.352 0.895
9 S 0.362 0.953 0.728
10 S 0.638 0.047 0.272

=====

Entry 8:
VASP calculation (PBE-GGA) on a relaxed AgTe2S crystal.

Values from the calculation:
Raw formation energy ... 9.880 kcal/mol of atoms
Magnetization ... 0.00 Bohr magnetons per cell

a b c (Å): 3.462 3.462 28.984
angles (deg): 90.00 90.00 120.00
Fractional coordinates of all 12 atoms:
1 Ag 0.000 0.000 0.000
2 Ag 0.333 0.667 0.667
3 Ag 0.667 0.333 0.333
4 Te 0.000 0.000 0.096
5 Te 0.000 0.000 0.904
6 Te 0.333 0.667 0.571
7 Te 0.333 0.667 0.762
8 Te 0.667 0.333 0.238
9 Te 0.667 0.333 0.429
10 S 0.000 0.000 0.500
11 S 0.333 0.667 0.167
12 S 0.667 0.333 0.833